[1]
## U2Mn3P4 (PBE-GGA)

Data for a relaxed U2Mn3P4 crystal.

## Properties
ΔH_f (0 K): -702 meV per atom
Volume: 511 Å³ per cell
Mass density: 9.94 Mg/m³
Magnetic moment: 1.679 μB/cell

a b c (Å): 5.451 13.614 6.889
angles (deg): 90.00 90.00 90.00
Space group Cmce (No. 64)
Unique sites:
U 0.000 0.108 0.085
Mn 0.000 0.000 0.500
Mn 0.250 0.225 0.750
P 0.000 0.183 0.468
P 0.250 0.056 0.750

---

[2]
## UMnVP2 (PBE-GGA)

Data for a relaxed UMnVP2 crystal.

## Properties
ΔH_f (0 K): -702 meV per atom
Volume: 152 Å³ per cell
Mass density: 8.87 Mg/m³
Magnetic moment: 7.458 μB/cell

a b c (Å): 3.661 3.661 11.338
angles (deg): 90.00 90.00 90.00
Space group I-4m2 (No. 119)
Unique sites:
U 0.000 0.000 0.000
Mn 0.000 0.500 0.750
V 0.000 0.500 0.250
P 0.000 0.000 0.382

---

- What is the mass density in the second record?
  8.87 Mg/m³

---

- Which formula does entry 2 have?
  UMnVP2

---

Copy entry 1 word for word.
## U2Mn3P4 (PBE-GGA)

Data for a relaxed U2Mn3P4 crystal.

## Properties
ΔH_f (0 K): -702 meV per atom
Volume: 511 Å³ per cell
Mass density: 9.94 Mg/m³
Magnetic moment: 1.679 μB/cell

a b c (Å): 5.451 13.614 6.889
angles (deg): 90.00 90.00 90.00
Space group Cmce (No. 64)
Unique sites:
U 0.000 0.108 0.085
Mn 0.000 0.000 0.500
Mn 0.250 0.225 0.750
P 0.000 0.183 0.468
P 0.250 0.056 0.750